# Dy2LuFe7Co2 PBE-GGA relaxed
# - Final energy: -0.535 Ry per atom
# - ρ: 9.5 g/cm³
# - Formation energy: -103.7 meV per atom
data_Dy2LuFe7Co2
_cell_length_a 5.0137
_cell_length_b 5.0137
_cell_length_c 24.3740
_cell_angle_alpha 90.00
_cell_angle_beta 90.00
_cell_angle_gamma 120.00
_symmetry_space_group_name_H-M 'R -3 m'
_symmetry_Int_Tables_number 166
_symmetry_space_group_name_Hall '-R 3 2"'
loop_
_atom_site_label
_atom_site_type_symbol
_atom_site_fract_x
_atom_site_fract_y
_atom_site_fract_z
Dy1 Dy 0.0000 0.0000 0.1418
Lu1 Lu 0.0000 0.0000 0.0000
Fe1 Fe 0.0000 0.0000 0.5000
Fe2 Fe 0.0011 0.5005 0.0811
Co1 Co 0.0000 0.0000 0.3324